! Li5Mn3Sn2O10, relaxed, DFT PBE with a Hubbard U; values from VASP
&SYSTEM
  ibrav = 0, nat = 20, ntyp = 4
/
ATOMIC_SPECIES
Li 6.94 Li.upf
Mn 54.94 Mn.upf
Sn 118.71 Sn.upf
O 16.00 O.upf
ATOMIC_POSITIONS crystal
Li 0.5000 0.5000 0.5000
Li 0.2318 0.9035 0.3994
Li 0.7682 0.0965 0.6006
Li 0.3886 0.2831 0.7736
Li 0.6114 0.7169 0.2264
Mn 0.0000 0.5000 0.0000
Mn 0.6904 0.8896 0.8949
Mn 0.3096 0.1104 0.1051
Sn 0.0993 0.7069 0.6939
Sn 0.9007 0.2931 0.3061
O 0.0536 0.0802 0.8430
O 0.9464 0.9198 0.1570
O 0.3204 0.6908 0.9392
O 0.6796 0.3092 0.0608
O 0.1463 0.3257 0.5482
O 0.8537 0.6743 0.4518
O 0.2212 0.4942 0.2288
O 0.7788 0.5058 0.7712
O 0.4441 0.8966 0.6546
O 0.5559 0.1034 0.3454
CELL_PARAMETERS angstrom
-2.2476 -4.8064 0.6199
5.1286 -1.0257 1.2737
-3.2762 4.0788 6.2127
! M_tot in μB per cell: 14.0
! Energy in eV/atom: -6.2734
! Energy relative to the lowest polymorph listed for this composition in eV/atom: 0.000